(1)
MnHgIr: PBEsol geometry, meta-GGA SCAN.

- Formation energy: 0.11 eV/atom
- Calculated total energy: -157.2 eV per cell
- D(E_F): 3.0 states/eV/cell
- Density: 15.9 g/cm3
- Total moment: 1.295 μB per atom

Cell lengths 2.860, 2.860, 6.594 Å; angles 90.00, 90.00, 120.00 degrees
Each line ends with the local moment (μB).
Sites, in units of the cell vectors:
Mn: 0.333 0.667 0.352  3.67
Hg: 0.000 0.000 0.009  -0.04
Ir: 0.667 0.333 0.639  0.14

---

(2)
MnHgIr2: PBEsol geometry, meta-GGA SCAN.

- Formation energy: 0.06 eV/atom
- Calculated total energy: -228.4 eV per cell
- D(E_F): 3.1 states/eV/cell
- Density: 17.7 g/cm3
- Total moment: 0.980 μB per atom

Cell lengths 2.810, 4.780, 4.803 Å; angles 102.58, 90.00, 107.09 degrees
Each line ends with the local moment (μB).
Sites, in units of the cell vectors:
Ir: 0.265 0.531 0.272  0.07
Ir: 0.735 0.469 0.728  0.07
Mn: 0.000 0.000 0.500  3.69
Hg: 0.500 0.000 0.000  -0.01